{"formula": "TcRu2Cl", "functional": "PBEsol", "state": "optimized geometry", "e_form_raw_mev_per_atom": 449, "lattice_angstrom": [[2.7816, 0.0000, 0.0000], [0.0000, 2.7816, 0.0000], [0.0000, 0.0000, 7.0572]], "species": ["Ru", "Ru", "Tc", "Cl"], "fractional_positions": [[0.0000, 0.0000, 0.9993], [0.5000, 0.5000, 0.2559], [0.0000, 0.0000, 0.5015], [0.5000, 0.5000, 0.7433]]}

=====

{"formula": "AlIn2Mo", "functional": "PBEsol", "state": "optimized geometry", "final_energy_ev_per_atom": -5.170, "lattice_angstrom": [[-1.0327, -2.5082, -1.2686], [3.0804, -2.7982, 3.0250], [-4.6270, 0.8520, 2.0819]], "species": ["Mo", "Al", "In", "In"], "fractional_positions": [[0.5000, 0.0000, 0.0000], [0.5000, 0.5000, 0.5000], [0.0000, 0.5000, 0.0000], [0.0000, 0.0000, 0.5000]]}

=====

{"formula": "N", "functional": "PBEsol", "state": "optimized geometry", "de_polymorph_mev_per_atom": 1737, "e_form_raw_mev_per_atom": 1737, "lattice_angstrom": [[5.5871, 0.0000, 0.0000], [-1.8624, 5.2676, 0.0000], [-1.8624, -2.6338, 4.5619]], "species": ["N", "N", "N", "N", "N", "N", "N", "N", "N", "N"], "fractional_positions": [[0.0000, 0.7448, 0.7448], [0.7448, 0.0000, 0.7448], [0.7448, 0.7448, 0.0000], [0.0000, 0.2552, 0.2552], [0.2552, 0.0000, 0.2552], [0.2552, 0.2552, 0.0000], [0.7543, 0.7543, 0.7543], [0.0000, 0.0000, 0.2457], [0.0000, 0.2457, 0.0000], [0.2457, 0.0000, 0.0000]]}

=====

{"formula": "Hg2Sb", "functional": "PBEsol", "state": "optimized geometry", "de_polymorph_mev_per_atom": 0, "e_form_raw_mev_per_atom": 58, "lattice_angstrom": [[-2.7909, -1.4931, 0.1520], [2.2777, -4.5573, -2.9432], [3.5757, -2.6254, 6.8323]], "species": ["Hg", "Hg", "Hg", "Hg", "Sb", "Sb"], "fractional_positions": [[0.6646, 0.7500, 0.3291], [0.0013, 0.7500, 0.0025], [0.9987, 0.2500, 0.9975], [0.3354, 0.2500, 0.6709], [0.3334, 0.7500, 0.6668], [0.6666, 0.2500, 0.3332]]}

=====

{"formula": "NaSc2TeOs", "functional": "PBEsol", "state": "optimized geometry", "e_form_raw_mev_per_atom": 712, "lattice_angstrom": [[4.8330, 0.0000, 0.0000], [0.0000, 5.3102, 0.0000], [0.0000, 0.0000, 5.3102]], "species": ["Sc", "Sc", "Na", "Te", "Os"], "fractional_positions": [[0.0000, 0.0000, 0.5000], [0.0000, 0.5000, 0.0000], [0.5000, 0.5000, 0.5000], [0.0000, 0.0000, 0.0000], [0.5000, 0.0000, 0.0000]]}

=====

{"formula": "CuNi6Sb", "functional": "PBEsol", "state": "optimized geometry", "e_form_raw_mev_per_atom": -61, "lattice_angstrom": [[-3.0086, -5.2157, 1.4640], [5.3217, 0.2882, 3.1615], [-4.7496, 4.8596, 7.5518]], "species": ["Cu", "Cu", "Cu", "Cu", "Ni", "Ni", "Ni", "Ni", "Ni", "Ni", "Ni", "Ni", "Ni", "Ni", "Ni", "Ni", "Ni", "Ni", "Ni", "Ni", "Ni", "Ni", "Ni", "Ni", "Ni", "Ni", "Ni", "Ni", "Sb", "Sb", "Sb", "Sb"], "fractional_positions": [[0.2486, 0.7514, 0.0000], [0.7514, 0.2486, 0.0000], [0.5000, 0.5000, 0.7557], [0.5000, 0.5000, 0.2443], [0.2535, 0.7465, 0.7575], [0.8712, 0.6162, 0.8798], [0.1288, 0.3838, 0.8798], [0.7465, 0.2535, 0.7575], [0.3838, 0.1288, 0.8798], [0.6162, 0.8712, 0.8798], [0.5000, 0.5000, 0.5000], [0.1329, 0.3783, 0.6299], [0.3783, 0.1329, 0.6299], [0.2535, 0.7465, 0.2425], [0.8671, 0.6217, 0.3701], [0.1329, 0.3783, 0.3701], [0.7465, 0.2535, 0.2425], [0.3783, 0.1329, 0.3701], [0.6217, 0.8671, 0.3701], [0.5000, 0.5000, 0.0000], [0.1288, 0.3838, 0.1202], [0.3838, 0.1288, 0.1202], [0.0000, 0.0000, 0.5000], [0.6217, 0.8671, 0.6299], [0.8671, 0.6217, 0.6299], [0.0000, 0.0000, 0.0000], [0.6162, 0.8712, 0.1202], [0.8712, 0.6162, 0.1202], [0.2487, 0.7513, 0.5000], [0.7513, 0.2487, 0.5000], [0.0000, 0.0000, 0.7566], [0.0000, 0.0000, 0.2434]]}

=====

{"formula": "AlTeW2", "functional": "PBEsol", "state": "optimized geometry", "de_polymorph_mev_per_atom": 192, "e_form_raw_mev_per_atom": 673, "lattice_angstrom": [[-2.1661, 2.2175, 1.1142], [-3.3061, -1.9123, -2.6214], [1.6584, -2.8924, 4.1114]], "species": ["Te", "Al", "W", "W"], "fractional_positions": [[0.0000, 0.5000, 0.0000], [0.5000, 0.0000, 0.0000], [0.7568, 0.7568, 0.5136], [0.2432, 0.2432, 0.4864]]}

=====

{"formula": "Sn2BiPb2", "functional": "PBEsol", "state": "optimized geometry", "de_polymorph_mev_per_atom": 92, "lattice_angstrom": [[-1.3781, 1.2796, -3.9735], [-4.1354, -0.9894, 1.1156], [1.7394, 7.1567, 4.1332]], "species": ["Pb", "Pb", "Bi", "Sn", "Sn"], "fractional_positions": [[0.2500, 0.7500, 0.5000], [0.7500, 0.2500, 0.5000], [0.0000, 0.0000, 0.0000], [0.4068, 0.4068, 0.8136], [0.5932, 0.5932, 0.1864]]}

=====

{"formula": "InAuSCl2", "functional": "PBEsol", "state": "optimized geometry", "de_polymorph_mev_per_atom": 0, "e_form_raw_mev_per_atom": -109, "lattice_angstrom": [[-1.2672, -3.0081, -3.6572], [4.6411, -1.5069, -0.3687], [-0.8980, -3.5579, 3.2376]], "species": ["S", "Cl", "Cl", "Au", "In"], "fractional_positions": [[0.5000, 0.0000, 0.0000], [0.0000, 0.0000, 0.5000], [0.0000, 0.5000, 0.0000], [0.0000, 0.0000, 0.0000], [0.5000, 0.5000, 0.5000]]}

=====

{"formula": "Li2Mg", "functional": "PBEsol", "state": "optimized geometry", "final_energy_ev_per_atom": -1.921, "lattice_angstrom": [[3.1575, 0.0000, 0.0000], [0.0000, 3.1575, 0.0000], [-1.5788, -1.5788, 5.9799]], "species": ["Mg", "Li", "Li"], "fractional_positions": [[0.0000, 0.0000, 0.0000], [0.6704, 0.6704, 0.3409], [0.3296, 0.3296, 0.6591]]}

=====

{"formula": "GaOsPtRh2", "functional": "PBEsol", "state": "optimized geometry", "final_energy_ev_per_atom": -6.389, "lattice_angstrom": [[4.5750, 0.0000, 0.0000], [0.0000, 4.5750, 0.0000], [0.0000, 0.0000, 4.6200]], "species": ["Rh", "Rh", "Os", "Ga", "Pt"], "fractional_positions": [[0.0000, 0.5000, 0.0000], [0.5000, 0.0000, 0.0000], [0.0000, 0.0000, 0.0000], [0.0000, 0.0000, 0.5000], [0.5000, 0.5000, 0.5000]]}

=====

{"formula": "PAu2Br", "functional": "PBEsol", "state": "optimized geometry", "de_polymorph_mev_per_atom": 0, "e_form_raw_mev_per_atom": 129, "lattice_angstrom": [[-2.1581, 1.0977, 2.8660], [0.3892, -1.6111, 3.3659], [3.9594, 4.4146, 3.7463]], "species": ["Au", "Au", "Br", "P"], "fractional_positions": [[0.9940, 0.9940, 0.0181], [0.7418, 0.7418, 0.7745], [0.4900, 0.4900, 0.5301], [0.2742, 0.2742, 0.1773]]}

=====

{"formula": "Ni2RuBr", "functional": "PBEsol", "state": "optimized geometry", "de_polymorph_mev_per_atom": 78, "e_form_raw_mev_per_atom": 622, "lattice_angstrom": [[-0.9395, 2.6104, 0.6698], [-0.5366, 0.6685, 2.7222], [6.7160, 3.4726, 1.9671]], "species": ["Br", "Ni", "Ni", "Ru"], "fractional_positions": [[0.2539, 0.2539, 0.2384], [0.0025, 0.0025, 0.9925], [0.7479, 0.7479, 0.7563], [0.4957, 0.4957, 0.5128]]}

=====

{"formula": "BaY2Tl", "functional": "PBEsol", "state": "optimized geometry", "de_polymorph_mev_per_atom": 0, "lattice_angstrom": [[3.7077, 0.0000, 0.0000], [1.8539, 3.2110, 0.0000], [1.8539, 1.0703, 11.3257]], "species": ["Ba", "Tl", "Y", "Y"], "fractional_positions": [[0.5074, 0.5074, 0.4777], [0.2565, 0.2565, 0.2304], [0.9942, 0.9942, 0.0173], [0.7418, 0.7418, 0.7745]]}

=====

{"formula": "TaTlO3", "functional": "PBEsol", "state": "optimized geometry", "e_form_raw_mev_per_atom": -2263, "lattice_angstrom": [[7.5194, -0.0036, 0.0052], [-3.7505, 6.5173, -0.0052], [-3.7147, -2.1979, 12.2525]], "species": ["Ta", "Ta", "Ta", "Ta", "Ta", "Ta", "Ta", "Ta", "Tl", "Tl", "Tl", "Tl", "Tl", "Tl", "Tl", "Tl", "O", "O", "O", "O", "O", "O", "O", "O", "O", "O", "O", "O", "O", "O", "O", "O", "O", "O", "O", "O", "O", "O", "O", "O"], "fractional_positions": [[0.0000, 0.0000, 0.5000], [0.0000, 0.5000, 0.5000], [0.0000, 0.0000, 0.0000], [0.5000, 0.0000, 0.5000], [0.9979, 0.7479, 0.2500], [0.0000, 0.5000, 0.0000], [0.0021, 0.2521, 0.7500], [0.5000, 0.5000, 0.0000], [0.4535, 0.6732, 0.2584], [0.5000, 0.5000, 0.5000], [0.4874, 0.2374, 0.2500], [0.0852, 0.8049, 0.7584], [0.5000, 0.0000, 0.0000], [0.9148, 0.1951, 0.2416], [0.5126, 0.7626, 0.7500], [0.5465, 0.3268, 0.7416], [0.0567, 0.5892, 0.1558], [0.6913, 0.9106, 0.4717], [0.0589, 0.2791, 0.4654], [0.6909, 0.5938, 0.1544], [0.3106, 0.2195, 0.0304], [0.0665, 0.0991, 0.6558], [0.6863, 0.4065, 0.9654], [0.9394, 0.5365, 0.3456], [0.0594, 0.9706, 0.1574], [0.6891, 0.2802, 0.4696], [0.0611, 0.7804, 0.9717], [0.3132, 0.9020, 0.3426], [0.9389, 0.2196, 0.0283], [0.6868, 0.0980, 0.6574], [0.3109, 0.7198, 0.5304], [0.9406, 0.0294, 0.8426], [0.0606, 0.4635, 0.6544], [0.3137, 0.5935, 0.0346], [0.6894, 0.7805, 0.9696], [0.9335, 0.9009, 0.3442], [0.3091, 0.4062, 0.8456], [0.9411, 0.7209, 0.5346], [0.3087, 0.0894, 0.5283], [0.9433, 0.4108, 0.8442]]}

=====

{"formula": "Al2Sb2Au", "functional": "PBEsol", "state": "optimized geometry", "e_form_raw_mev_per_atom": 65, "lattice_angstrom": [[4.8564, 0.0000, 0.0000], [0.0000, 6.6260, 0.0000], [0.0000, 0.0000, 6.6260]], "species": ["Sb", "Sb", "Sb", "Sb", "Au", "Au", "Al", "Al", "Al", "Al"], "fractional_positions": [[0.5000, 0.1779, 0.6779], [0.5000, 0.6779, 0.8221], [0.5000, 0.8221, 0.3221], [0.5000, 0.3221, 0.1779], [0.0000, 0.0000, 0.0000], [0.0000, 0.5000, 0.5000], [0.0000, 0.3602, 0.8602], [0.0000, 0.8602, 0.6398], [0.0000, 0.6398, 0.1398], [0.0000, 0.1398, 0.3602]]}

=====

{"formula": "RbMg2ScI", "functional": "PBEsol", "state": "optimized geometry", "e_form_raw_mev_per_atom": 892, "lattice_angstrom": [[-4.2573, -3.2736, -3.0953], [-0.6591, -3.7505, 4.8732], [-4.4464, 3.6762, 2.2279]], "species": ["I", "Sc", "Mg", "Mg", "Rb"], "fractional_positions": [[0.5000, 0.0000, 0.0000], [0.5000, 0.5000, 0.5000], [0.0000, 0.0000, 0.5000], [0.0000, 0.5000, 0.0000], [0.0000, 0.0000, 0.0000]]}

=====

{"formula": "ZrTaRe2", "functional": "PBEsol", "state": "optimized geometry", "final_energy_ev_per_atom": -11.940, "lattice_angstrom": [[3.0528, 0.0000, 0.0000], [1.5264, 2.6438, 0.0000], [1.5264, 0.8813, 8.4427]], "species": ["Re", "Re", "Ta", "Zr"], "fractional_positions": [[0.2469, 0.2469, 0.2593], [0.7531, 0.7531, 0.7407], [0.5000, 0.5000, 0.5000], [0.0000, 0.0000, 0.0000]]}

=====

{"formula": "MgRh", "functional": "PBEsol", "state": "optimized geometry", "final_energy_ev_per_atom": -5.227, "lattice_angstrom": [[-0.4211, 0.7222, -2.8797], [-4.3051, -0.0300, 0.6220], [2.4928, 4.1784, 2.2447]], "species": ["Mg", "Mg", "Rh", "Rh"], "fractional_positions": [[0.8887, 0.6387, 0.7774], [0.1113, 0.3613, 0.2226], [0.3646, 0.1146, 0.7291], [0.6354, 0.8854, 0.2709]]}

=====

{"formula": "Nb2CrCu2", "functional": "PBEsol", "state": "optimized geometry", "final_energy_ev_per_atom": -7.624, "lattice_angstrom": [[-1.9997, -0.9584, 2.2045], [-0.3245, -2.7337, -1.4828], [6.9820, -1.0300, 3.6678]], "species": ["Cr", "Nb", "Nb", "Cu", "Cu"], "fractional_positions": [[0.0000, 0.0000, 0.0000], [0.4038, 0.4038, 0.8076], [0.5962, 0.5962, 0.1924], [0.2500, 0.7500, 0.5000], [0.7500, 0.2500, 0.5000]]}